# 1
# La2Be2Hg | Alexandria | PBE | relaxed
data_La2Be2Hg
_chemical_formula_sum 'La4 Be4 Hg2'
_cell_length_a 6.8583
_cell_length_b 6.8583
_cell_length_c 4.6751
_cell_angle_alpha 90.00
_cell_angle_beta 90.00
_cell_angle_gamma 90.00
_symmetry_space_group_name_H-M 'P 4/m b m'
_symmetry_Int_Tables_number 127
_symmetry_space_group_name_Hall '-P 4 2ab'
loop_
_atom_site_label
_atom_site_fract_x
_atom_site_fract_y
_atom_site_fract_z
La1 0.1667 0.3333 0.0000
Be1 0.1208 0.6208 0.5000
Hg1 0.0000 0.0000 0.5000
# - DFT total energy: -3.541 eV per atom
# - V: 21.99 A^3/atom
# - Energy relative to the elements: -0.020 eV per atom



# 2
# LaBeHg3 | Alexandria | PBE | relaxed
data_LaBeHg3
_chemical_formula_sum 'La1 Be1 Hg3'
_cell_length_a 4.8829
_cell_length_b 4.8829
_cell_length_c 4.8829
_cell_angle_alpha 90.00
_cell_angle_beta 90.00
_cell_angle_gamma 90.00
_symmetry_space_group_name_H-M 'P m -3 m'
_symmetry_Int_Tables_number 221
_symmetry_space_group_name_Hall '-P 4 2 3'
loop_
_atom_site_label
_atom_site_fract_x
_atom_site_fract_y
_atom_site_fract_z
La1 0.0000 0.0000 0.0000
Be1 0.5000 0.5000 0.5000
Hg1 0.0000 0.5000 0.5000
# - DFT total energy: -2.043 eV per atom
# - Distance to the lowest polymorph of the same formula: 0 meV/atom
# - V: 23.28 A^3/atom
# - Energy relative to the elements: -0.131 eV per atom



> Number 2 is which compound?

LaBeHg3



> Which of these has the lowest energy relative to the elements?

LaBeHg3